Entry 1:
Entry from Alexandria via LeMat-Bulk: Nd12DyY7 after structural relaxation (PBE-GGA).

N(E_F): 82.533 states/eV per cell
energy of formation from the pure elements: 0.280 eV/atom
energy above the most stable polymorph in this dataset: 66 meV/atom
total magnetization: 0.000 μB/atom

CIF file:
```
data_Nd12DyY7
_cell_length_a 18.9374
_cell_length_b 18.9374
_cell_length_c 6.8357
_cell_angle_alpha 90.00
_cell_angle_beta 90.00
_cell_angle_gamma 120.00
_space_group_name_H-M_alt 'R -3'
_space_group_IT_number 148
_space_group_name_Hall '-R 3'
loop_
_atom_site_label
_atom_site_fract_x
_atom_site_fract_y
_atom_site_fract_z
Nd1 0.0007 0.7893 0.2849
Nd2 0.0060 0.4707 0.7428
Dy1 0.0000 0.0000 0.0000
Y1 0.0000 0.0000 0.5000
Y2 0.0068 0.8524 0.7775
```


Entry 2:
Entry from Alexandria via LeMat-Bulk: NdDy3Y4 after structural relaxation (PBE-GGA).

N(E_F): 27.451 states/eV per cell
energy of formation from the pure elements: 0.223 eV/atom
energy above the most stable polymorph in this dataset: 215 meV/atom
total magnetization: 0.000 μB/atom

CIF file:
```
data_NdDy3Y4
_cell_length_a 5.667
_cell_length_b 26.414
_cell_length_c 3.560
_cell_angle_alpha 90.00
_cell_angle_beta 90.00
_cell_angle_gamma 90.00
_space_group_name_H-M_alt 'C m m m'
_space_group_IT_number 65
_space_group_name_Hall '-C 2 2'
loop_
_atom_site_label
_atom_site_fract_x
_atom_site_fract_y
_atom_site_fract_z
Nd1 0.000 0.000 0.000
Dy1 0.000 0.344 0.000
Dy2 0.000 0.500 0.500
Y1 0.000 0.105 0.500
Y2 0.000 0.224 0.500
```


Entry 3:
Entry from Alexandria via LeMat-Bulk: Nd12Dy5Y after structural relaxation (PBE-GGA).

N(E_F): 55.985 states/eV per cell
energy of formation from the pure elements: 0.018 eV/atom
total magnetization: 0.000 μB/atom

CIF file:
```
data_Nd12Dy5Y
_cell_length_a 15.426
_cell_length_b 15.464
_cell_length_c 5.157
_cell_angle_alpha 90.00
_cell_angle_beta 90.00
_cell_angle_gamma 90.00
_space_group_name_H-M_alt 'C m m m'
_space_group_IT_number 65
_space_group_name_Hall '-C 2 2'
loop_
_atom_site_label
_atom_site_fract_x
_atom_site_fract_y
_atom_site_fract_z
Nd1 0.165 0.000 0.000
Nd2 0.165 0.167 0.500
Nd3 0.165 0.333 0.000
Nd4 0.166 0.500 0.500
Dy1 0.000 0.000 0.500
Dy2 0.000 0.167 0.000
Dy3 0.000 0.333 0.500
Y1 0.000 0.500 0.000
```


Entry 4:
Entry from Alexandria via LeMat-Bulk: Nd3Dy2Y3 after structural relaxation (PBE-GGA).

N(E_F): 27.229 states/eV per cell
energy of formation from the pure elements: 0.081 eV/atom
total magnetization: 0.000 μB/atom

CIF file:
```
data_Nd3Dy2Y3
_cell_length_a 16.402
_cell_length_b 5.752
_cell_length_c 6.052
_cell_angle_alpha 90.00
_cell_angle_beta 109.93
_cell_angle_gamma 90.00
_space_group_name_H-M_alt 'C 1 2/m 1'
_space_group_IT_number 12
loop_
_space_group_symop_operation_xyz
'x,y,z'
'-x,-y,-z'
'-x,y,-z'
'x,-y,z'
'x+1/2,y+1/2,z'
'-x+1/2,-y+1/2,-z'
'-x+1/2,y+1/2,-z'
'x+1/2,-y+1/2,z'
loop_
_atom_site_label
_atom_site_fract_x
_atom_site_fract_y
_atom_site_fract_z
Nd1 0.000 0.000 0.000
Nd2 0.135 0.000 0.697
Dy1 0.249 0.000 0.318
Y1 0.000 0.500 0.500
Y2 0.133 0.500 0.082
```


Which value of N(E_F) does entry 1 give? 82.533 states/eV per cell


Which formula does entry 4 have? Nd3Dy2Y3


Copy entry 3 word for word.
Entry from Alexandria via LeMat-Bulk: Nd12Dy5Y after structural relaxation (PBE-GGA).

N(E_F): 55.985 states/eV per cell
energy of formation from the pure elements: 0.018 eV/atom
total magnetization: 0.000 μB/atom

CIF file:
```
data_Nd12Dy5Y
_cell_length_a 15.426
_cell_length_b 15.464
_cell_length_c 5.157
_cell_angle_alpha 90.00
_cell_angle_beta 90.00
_cell_angle_gamma 90.00
_space_group_name_H-M_alt 'C m m m'
_space_group_IT_number 65
_space_group_name_Hall '-C 2 2'
loop_
_atom_site_label
_atom_site_fract_x
_atom_site_fract_y
_atom_site_fract_z
Nd1 0.165 0.000 0.000
Nd2 0.165 0.167 0.500
Nd3 0.165 0.333 0.000
Nd4 0.166 0.500 0.500
Dy1 0.000 0.000 0.500
Dy2 0.000 0.167 0.000
Dy3 0.000 0.333 0.500
Y1 0.000 0.500 0.000
```


What did the second record say?
Entry from Alexandria via LeMat-Bulk: NdDy3Y4 after structural relaxation (PBE-GGA).

N(E_F): 27.451 states/eV per cell
energy of formation from the pure elements: 0.223 eV/atom
energy above the most stable polymorph in this dataset: 215 meV/atom
total magnetization: 0.000 μB/atom

CIF file:
```
data_NdDy3Y4
_cell_length_a 5.667
_cell_length_b 26.414
_cell_length_c 3.560
_cell_angle_alpha 90.00
_cell_angle_beta 90.00
_cell_angle_gamma 90.00
_space_group_name_H-M_alt 'C m m m'
_space_group_IT_number 65
_space_group_name_Hall '-C 2 2'
loop_
_atom_site_label
_atom_site_fract_x
_atom_site_fract_y
_atom_site_fract_z
Nd1 0.000 0.000 0.000
Dy1 0.000 0.344 0.000
Dy2 0.000 0.500 0.500
Y1 0.000 0.105 0.500
Y2 0.000 0.224 0.500
```